# ZrAgBi2

Crystalline ZrAgBi2 at its relaxed geometry (PBE, Alexandria).

Summary:
Calculated volume (A^3/atom): 27.59
Crystal system: trigonal
Formation enthalpy at 0 K (kJ/mol of atoms): 2

Cell: 3.5300 3.5300 30.6784 Å, 90.00 90.00 120.00°
Last column: nearest neighbours and their distance in Å.
Fractional positions:
Zr 0.0000 0.0000 0.0000  6 Bi 3.08
Zr 0.3333 0.6667 0.6667  6 Bi 3.08
Zr 0.6667 0.3333 0.3333  6 Bi 3.08
Ag 0.0000 0.0000 0.5000  2 Bi 2.81
Ag 0.3333 0.6667 0.1667  2 Bi 2.81
Ag 0.6667 0.3333 0.8333  2 Bi 2.81
Bi 0.0000 0.0000 0.4084  1 Ag 2.81, 3 Zr 3.08
Bi 0.0000 0.0000 0.5916  1 Ag 2.81, 3 Zr 3.08
Bi 0.3333 0.6667 0.0751  1 Ag 2.81, 3 Zr 3.08
Bi 0.3333 0.6667 0.2583  1 Ag 2.81, 3 Zr 3.08
Bi 0.6667 0.3333 0.7417  1 Ag 2.81, 3 Zr 3.08
Bi 0.6667 0.3333 0.9249  1 Ag 2.81, 3 Zr 3.08